DFT (meta-GGA SCAN) results for a crystal of Zr2TcAs relaxed with PBEsol.

Cell lengths 3.510, 4.409, 4.532 Å; angles 90.00, 90.00, 90.00 degrees
Element x y z (fractional)
Zr  0.000  0.000  0.000
Zr  0.000  0.500  0.500
Tc  0.500  0.000  0.500
As  0.500  0.500  0.000

Properties
SG   Pmmm, No. 47
Energy relative to the elements   -0.581 eV/atom
Size of the total moment   0.00 μB per formula unit